VASP calculation (PBE) on a relaxed Tb4MgAgRu2 crystal.

Calculated values
Total energy: -43.6 eV per formula unit
Magnetic moment: 0.000 μB/atom
ΔH_f (0 K): -2.112 eV per formula unit

a = 4.995 Å, b = 4.995 Å, c = 8.717 Å
α = 73.35°, β = 73.35°, γ = 60.00°
Positions (direct):
Tb: 0.126 0.126 0.621
Tb: 0.377 0.377 0.868
Tb: 0.623 0.623 0.132
Tb: 0.874 0.874 0.379
Ru: 0.253 0.253 0.242
Ru: 0.747 0.747 0.758
Ag: 0.500 0.500 0.500
Mg: 0.000 0.000 0.000